(1)
Compound: Mg2HgRu
Source: Alexandria
Functional: GGA-PBE
Structure: relaxed

CIF file:
```
data_Mg2HgRu
_cell_length_a 3.3887
_cell_length_b 3.3919
_cell_length_c 6.1497
_cell_angle_alpha 90.00
_cell_angle_beta 90.00
_cell_angle_gamma 90.00
_symmetry_space_group_name_H-M 'P 1'
_symmetry_Int_Tables_number 1
_symmetry_space_group_name_Hall 'P 1'
loop_
_atom_site_label
_atom_site_fract_x
_atom_site_fract_y
_atom_site_fract_z
Hg1 0.5000 0.5000 0.7500
Mg1 0.0000 0.0000 0.0307
Mg2 0.0000 0.0000 0.4693
Ru1 0.5000 0.5000 0.2500
```

---

(2)
Compound: MgHg2Ru
Source: Alexandria
Functional: GGA-PBE
Structure: relaxed

CIF file:
```
data_MgHg2Ru
_cell_length_a 4.9971
_cell_length_b 4.9971
_cell_length_c 5.2945
_cell_angle_alpha 79.63
_cell_angle_beta 79.63
_cell_angle_gamma 36.06
_symmetry_space_group_name_H-M 'P 1'
_symmetry_Int_Tables_number 1
_symmetry_space_group_name_Hall 'P 1'
loop_
_atom_site_label
_atom_site_fract_x
_atom_site_fract_y
_atom_site_fract_z
Hg1 0.9947 0.9947 0.0102
Hg2 0.5053 0.5053 0.4898
Mg1 0.7500 0.7500 0.7500
Ru1 0.2500 0.2500 0.2500
```

---

(3)
Compound: MgHg2Ru
Source: Alexandria
Functional: GGA-PBE
Structure: relaxed

CIF file:
```
data_MgHg2Ru
_cell_length_a 9.4122
_cell_length_b 9.4122
_cell_length_c 9.4122
_cell_angle_alpha 18.99
_cell_angle_beta 18.99
_cell_angle_gamma 18.99
_symmetry_space_group_name_H-M 'P 1'
_symmetry_Int_Tables_number 1
_symmetry_space_group_name_Hall 'P 1'
loop_
_atom_site_label
_atom_site_fract_x
_atom_site_fract_y
_atom_site_fract_z
Hg1 0.0017 0.0017 0.0017
Hg2 0.4983 0.4983 0.4983
Mg1 0.2500 0.2500 0.2500
Ru1 0.7500 0.7500 0.7500
```

---

Number 1: final energy -3.263 eV per atom, formation enthalpy at 0 K -0.0711 eV/atom. Number 2: final energy -2.626 eV per atom, formation enthalpy at 0 K 0.2423 eV/atom. Number 3: final energy -2.549 eV per atom, formation enthalpy at 0 K 0.3196 eV/atom.